No. 1
Here is crystalline La5Pr8Ho at its relaxed geometry from the Alexandria database. Energies are from PBE.

Values from the calculation:
* E_form: 0.217 eV/atom

Lattice parameters (Å, degrees): 8.7345 8.7345 8.7345 110.58 110.58 107.28
With the nearest neighbours (Å) after each atom.
Element x y z (fractional)
La  0.0000  0.0000  0.0000  8 Pr 3.22-3.50
La  0.2103  0.3148  0.6812  8 Pr 3.48-3.74, 2 La 3.71
La  0.4709  0.7897  0.1045  8 Pr 3.48-3.74, 2 La 3.71
La  0.6336  0.5291  0.3188  8 Pr 3.48-3.74, 2 La 3.71
La  0.6852  0.3664  0.8955  8 Pr 3.48-3.74, 2 La 3.71
Pr  0.1682  0.4288  0.1075  3 La 3.22-3.49, 1 Ho 3.23
Pr  0.3213  0.0608  0.8925  3 La 3.22-3.49, 1 Ho 3.23
Pr  0.4254  0.1654  0.4007  5 La 3.50-3.70, 4 Pr 3.65-3.90
Pr  0.5712  0.6787  0.7395  3 La 3.22-3.49, 1 Ho 3.23
Pr  0.7647  0.0248  0.5993  5 La 3.50-3.70, 4 Pr 3.65-3.90
Pr  0.8346  0.2353  0.2600  5 La 3.50-3.70, 4 Pr 3.65-3.90
Pr  0.9392  0.8318  0.2605  3 La 3.22-3.49, 1 Ho 3.23
Pr  0.9752  0.5746  0.7400  5 La 3.50-3.70, 4 Pr 3.65-3.90
Ho  0.2500  0.7500  0.5000  4 Pr 3.23

=====

No. 2
Here is crystalline ScTa4P at its relaxed geometry from the Alexandria database. Energies are from PBE.

Values from the calculation:
* E_form: 0.473 eV/atom

Lattice parameters (Å, degrees): 5.5184 5.5184 5.5184 60.00 60.00 60.00
With the nearest neighbours (Å) after each atom.
Element x y z (fractional)
Sc  0.0000  0.0000  0.0000  12 Ta 3.23, 4 P 3.38
Ta  0.1187  0.6271  0.6271  6 Ta 2.71-2.81
Ta  0.6271  0.1187  0.6271  6 Ta 2.71-2.81
Ta  0.6271  0.6271  0.1187  6 Ta 2.71-2.81
Ta  0.6271  0.6271  0.6271  6 Ta 2.71-2.81
P  0.2500  0.2500  0.2500  12 Ta 3.24, 4 Sc 3.38

=====

What did the first record say?
Here is crystalline La5Pr8Ho at its relaxed geometry from the Alexandria database. Energies are from PBE.

Values from the calculation:
* E_form: 0.217 eV/atom

Lattice parameters (Å, degrees): 8.7345 8.7345 8.7345 110.58 110.58 107.28
With the nearest neighbours (Å) after each atom.
Element x y z (fractional)
La  0.0000  0.0000  0.0000  8 Pr 3.22-3.50
La  0.2103  0.3148  0.6812  8 Pr 3.48-3.74, 2 La 3.71
La  0.4709  0.7897  0.1045  8 Pr 3.48-3.74, 2 La 3.71
La  0.6336  0.5291  0.3188  8 Pr 3.48-3.74, 2 La 3.71
La  0.6852  0.3664  0.8955  8 Pr 3.48-3.74, 2 La 3.71
Pr  0.1682  0.4288  0.1075  3 La 3.22-3.49, 1 Ho 3.23
Pr  0.3213  0.0608  0.8925  3 La 3.22-3.49, 1 Ho 3.23
Pr  0.4254  0.1654  0.4007  5 La 3.50-3.70, 4 Pr 3.65-3.90
Pr  0.5712  0.6787  0.7395  3 La 3.22-3.49, 1 Ho 3.23
Pr  0.7647  0.0248  0.5993  5 La 3.50-3.70, 4 Pr 3.65-3.90
Pr  0.8346  0.2353  0.2600  5 La 3.50-3.70, 4 Pr 3.65-3.90
Pr  0.9392  0.8318  0.2605  3 La 3.22-3.49, 1 Ho 3.23
Pr  0.9752  0.5746  0.7400  5 La 3.50-3.70, 4 Pr 3.65-3.90
Ho  0.2500  0.7500  0.5000  4 Pr 3.23

=====

Repeat the second record exactly.
Here is crystalline ScTa4P at its relaxed geometry from the Alexandria database. Energies are from PBE.

Values from the calculation:
* E_form: 0.473 eV/atom

Lattice parameters (Å, degrees): 5.5184 5.5184 5.5184 60.00 60.00 60.00
With the nearest neighbours (Å) after each atom.
Element x y z (fractional)
Sc  0.0000  0.0000  0.0000  12 Ta 3.23, 4 P 3.38
Ta  0.1187  0.6271  0.6271  6 Ta 2.71-2.81
Ta  0.6271  0.1187  0.6271  6 Ta 2.71-2.81
Ta  0.6271  0.6271  0.1187  6 Ta 2.71-2.81
Ta  0.6271  0.6271  0.6271  6 Ta 2.71-2.81
P  0.2500  0.2500  0.2500  12 Ta 3.24, 4 Sc 3.38

=====

- The lowest E_form belongs to which entry?
  La5Pr8Ho

=====

- What is the formula in the first record?
  La5Pr8Ho